Below is crystalline Rb2SbO at its relaxed geometry, with properties calculated at the GGA-PBEsol level.

Formation energy (no corrections) in meV per atom: -632
Total DFT energy (no corrections) in eV per cell: -28.8
Density of states at the Fermi level in states/eV/atom: 0.7723
Symmetry: I-42d, No. 122

Lattice parameters (Å, degrees): 4.4231 8.4363 8.4363 86.06 74.80 74.80
Last column: nearest neighbours and their distance in Å.
Fractional coordinates of all 8 atoms:
Rb: 0.3153 0.3097 0.8097  2 O 3.01
Rb: 0.3750 0.1903 0.3097  2 O 3.01
Rb: 0.4347 0.6903 0.1903  2 O 3.01
Rb: 0.8750 0.8097 0.6903  2 O 3.01
O: 0.5000 0.0000 0.0000  2 Sb 2.21
O: 0.2500 0.5000 0.5000  2 Sb 2.21
Sb: 0.0000 0.0000 0.0000  2 O 2.21
Sb: 0.7500 0.5000 0.5000  2 O 2.21